[1]
Material: TbCe2Er
Method: DFT, PBE-GGA
State: optimized geometry

Cell lengths 3.4775, 3.4775, 34.4109 Å; angles 90.00, 90.00, 120.00 degrees
Space group R-3m (No. 166, hexagonal axes)
Asymmetric unit:
Tb  0.0000  0.0000  0.0000 (multiplicity 3)
Ce  0.0000  0.0000  0.2496 (multiplicity 6)
Er  0.0000  0.0000  0.5000 (multiplicity 3)

Results
Its energy above the most stable polymorph in this dataset is 0.00 eV per formula unit. The value obtained for the formation energy is 0.09 eV per atom. The total energy comes out at -5.18 eV per atom.

[2]
Material: VGaCoRh
Method: DFT, PBE-GGA
State: optimized geometry

Cell lengths 3.852, 3.852, 6.954 Å; angles 90.00, 90.00, 90.00 degrees
Space group I-4m2 (No. 119)
Asymmetric unit:
V  0.000  0.000  0.000 (multiplicity 2)
Ga  0.000  0.000  0.500 (multiplicity 2)
Co  0.000  0.500  0.250 (multiplicity 2)
Rh  0.000  0.500  0.750 (multiplicity 2)

Results
Its energy above the most stable polymorph in this dataset is 0.00 eV per formula unit. The value obtained for the formation energy is -0.41 eV per atom. The total energy comes out at -7.06 eV per atom.

[3]
Material: Ac6SbS5
Method: DFT, PBE-GGA
State: optimized geometry

Cell lengths 7.606, 13.182, 7.634 Å; angles 90.00, 109.50, 90.00 degrees
Space group C2/m (No. 12)
Asymmetric unit:
Ac  0.239  0.000  0.259 (multiplicity 4)
Ac  0.239  0.174  0.739 (multiplicity 8)
Sb  0.000  0.500  0.000 (multiplicity 2)
S  0.000  0.000  0.500 (multiplicity 2)
S  0.000  0.167  0.000 (multiplicity 4)
S  0.000  0.340  0.500 (multiplicity 4)

Results
Its uncorrected formation energy is -1.852 eV per atom. The total energy comes out at -5.97 eV per atom.

[4]
Material: Er4TmBi2
Method: DFT, PBE-GGA
State: optimized geometry

Cell lengths 5.287, 5.287, 16.541 Å; angles 90.00, 90.00, 90.00 degrees
Space group I4/mmm (No. 139)
Asymmetric unit:
Er  0.000  0.000  0.180 (multiplicity 4)
Er  0.000  0.500  0.000 (multiplicity 4)
Tm  0.000  0.000  0.000 (multiplicity 2)
Bi  0.000  0.000  0.365 (multiplicity 4)

Results
The value obtained for the formation energy is 0.35 eV per atom. The total energy comes out at -4.01 eV per atom.

[5]
Material: ReMoAs2
Method: DFT, PBE-GGA
State: optimized geometry

Cell lengths 3.121, 5.108, 8.083 Å; angles 90.00, 90.00, 90.00 degrees
Space group Cmmm (No. 65)
Asymmetric unit:
Re  0.000  0.000  0.000 (multiplicity 2)
Mo  0.000  0.000  0.500 (multiplicity 2)
As  0.000  0.500  0.249 (multiplicity 4)

Results
Its energy above the most stable polymorph in this dataset is 1.88 eV per formula unit. The value obtained for the formation energy is 0.51 eV per atom. The total energy comes out at -7.63 eV per atom.

[6]
Material: Sr3Cd4Si2
Method: DFT, PBE-GGA
State: optimized geometry

Cell lengths 12.036, 4.659, 9.390 Å; angles 90.00, 107.45, 90.00 degrees
Space group C2/m (No. 12)
Asymmetric unit:
Sr  0.000  0.000  0.000 (multiplicity 2)
Sr  0.175  0.500  0.650 (multiplicity 4)
Cd  0.041  0.000  0.371 (multiplicity 4)
Cd  0.222  0.500  0.070 (multiplicity 4)
Si  0.105  0.500  0.272 (multiplicity 4)

Results
Its uncorrected formation energy is -0.325 eV per atom. The total energy comes out at -2.50 eV per atom.

[7]
Material: DyEr2Ir
Method: DFT, PBE-GGA
State: optimized geometry

Cell lengths 3.449, 3.449, 8.736 Å; angles 90.00, 90.00, 90.00 degrees
Space group P4/mmm (No. 123)
Asymmetric unit:
Dy  0.000  0.000  0.000 (multiplicity 1)
Er  0.500  0.500  0.314 (multiplicity 2)
Ir  0.000  0.000  0.500 (multiplicity 1)

Results
Its energy above the most stable polymorph in this dataset is 0.70 eV per formula unit. The value obtained for the formation energy is -0.43 eV per atom. The total energy comes out at -6.08 eV per atom.

[8]
Material: Cu2MoRh
Method: DFT, PBE-GGA
State: optimized geometry

Cell lengths 4.554, 2.710, 4.707 Å; angles 90.00, 108.57, 90.00 degrees
Space group P2/m (No. 10)
Asymmetric unit:
Cu  0.000  0.000  0.000 (multiplicity 1)
Cu  0.500  0.500  0.000 (multiplicity 1)
Mo  0.000  0.500  0.500 (multiplicity 1)
Rh  0.500  0.000  0.500 (multiplicity 1)

Results
The value obtained for the formation energy is 0.16 eV per atom. The total energy comes out at -6.44 eV per atom.

[9]
Material: BaCdCuAg2
Method: DFT, PBE-GGA
State: optimized geometry

Cell lengths 5.084, 5.084, 4.983 Å; angles 90.00, 90.00, 90.00 degrees
Space group P4/mmm (No. 123)
Asymmetric unit:
Ba  0.000  0.000  0.000 (multiplicity 1)
Cd  0.500  0.500  0.000 (multiplicity 1)
Cu  0.500  0.500  0.500 (multiplicity 1)
Ag  0.000  0.500  0.500 (multiplicity 2)

Results
The value obtained for the formation energy is -0.03 eV per atom. The total energy comes out at -2.56 eV per atom.

[10]
Material: K4AgAu
Method: DFT, PBE-GGA
State: optimized geometry

Cell lengths 8.225, 8.225, 7.550 Å; angles 90.00, 90.00, 90.00 degrees
Space group P4/mcc (No. 124)
Asymmetric unit:
K  0.182  0.307  0.000 (multiplicity 8)
Ag  0.500  0.500  0.250 (multiplicity 2)
Au  0.000  0.000  0.250 (multiplicity 2)

Results
Its energy above the most stable polymorph in this dataset is 0.02 eV per formula unit. The value obtained for the formation energy is -0.08 eV per atom. The total energy comes out at -1.84 eV per atom.

[11]
Material: PmZr2In
Method: DFT, PBE-GGA
State: optimized geometry

Cell lengths 3.1972, 3.1972, 34.7683 Å; angles 90.00, 90.00, 120.00 degrees
Space group R-3m (No. 166, hexagonal axes)
Asymmetric unit:
Pm  0.0000  0.0000  0.0000 (multiplicity 3)
Zr  0.0000  0.0000  0.0925 (multiplicity 6)
In  0.0000  0.0000  0.5000 (multiplicity 3)

Results
Its energy above the most stable polymorph in this dataset is 1.37 eV per formula unit. The value obtained for the formation energy is 0.19 eV per atom. The total energy comes out at -5.95 eV per atom.

[12]
Material: CePmSi
Method: DFT, PBE-GGA
State: optimized geometry

Cell lengths 4.254, 4.254, 8.470 Å; angles 90.00, 90.00, 90.00 degrees
Space group P4/nmm (No. 129, origin choice 2)
Asymmetric unit:
Ce  0.250  0.750  0.000 (multiplicity 2)
Pm  0.250  0.250  0.365 (multiplicity 2)
Si  0.250  0.250  0.734 (multiplicity 2)

Results
Its uncorrected formation energy is -0.532 eV per atom. Its energy above the most stable polymorph in this dataset is 0.00 eV per formula unit. The total energy comes out at -5.90 eV per atom.

[13]
Material: Ho2PBr2
Method: DFT, PBE-GGA
State: optimized geometry

Cell lengths 3.9834, 3.9834, 32.1893 Å; angles 90.00, 90.00, 120.00 degrees
Space group R-3m (No. 166, hexagonal axes)
Asymmetric unit:
Ho  0.0000  0.0000  0.1199 (multiplicity 6)
P  0.0000  0.0000  0.5000 (multiplicity 3)
Br  0.0000  0.0000  0.2700 (multiplicity 6)

Results
Its uncorrected formation energy is -1.765 eV per atom. The total energy comes out at -5.35 eV per atom.

[14]
Material: Sr2MnCuN
Method: DFT, PBE-GGA
State: optimized geometry

Cell lengths 5.423, 5.423, 3.735 Å; angles 90.00, 90.00, 90.00 degrees
Space group P4/mmm (No. 123)
Asymmetric unit:
Sr  0.000  0.500  0.000 (multiplicity 2)
Mn  0.000  0.000  0.500 (multiplicity 1)
Cu  0.500  0.500  0.500 (multiplicity 1)
N  0.000  0.000  0.000 (multiplicity 1)

Results
Its uncorrected formation energy is -0.231 eV per atom. The total energy comes out at -5.22 eV per atom.

[15]
Material: MoPt2
Method: DFT, PBE-GGA
State: optimized geometry

Cell lengths 2.780, 14.666, 4.613 Å; angles 90.00, 90.00, 90.00 degrees
Space group Cmcm (No. 63)
Asymmetric unit:
Mo  0.000  0.216  0.250 (multiplicity 4)
Pt  0.000  0.118  0.750 (multiplicity 4)
Pt  0.000  0.444  0.750 (multiplicity 4)

Results
Its energy above the most stable polymorph in this dataset is 0.62 eV per formula unit. The value obtained for the formation energy is -0.17 eV per atom. The total energy comes out at -7.81 eV per atom.

[16]
Material: Ce4TlRu
Method: DFT, PBE-GGA
State: optimized geometry

Cell lengths 8.439, 12.828, 5.876 Å; angles 90.00, 106.95, 90.00 degrees
Space group C2/c (No. 15)
Asymmetric unit:
Ce  0.111  0.197  0.121 (multiplicity 8)
Ce  0.232  0.404  0.323 (multiplicity 8)
Tl  0.000  0.387  0.750 (multiplicity 4)
Ru  0.000  0.018  0.750 (multiplicity 4)

Results
Its energy above the most stable polymorph in this dataset is 0.00 eV per formula unit. The value obtained for the formation energy is -0.21 eV per atom. The total energy comes out at -6.10 eV per atom.

[17]
Material: AcH2SeN
Method: DFT, PBE-GGA
State: optimized geometry

Cell lengths 4.061, 4.061, 5.187 Å; angles 90.00, 90.00, 90.00 degrees
Space group P4mm (No. 99)
Asymmetric unit:
Ac  0.000  0.000  0.000 (multiplicity 1)
H  0.000  0.500  0.535 (multiplicity 2)
Se  0.500  0.500  0.175 (multiplicity 1)
N  0.000  0.000  0.528 (multiplicity 1)

Results
The total energy comes out at -4.20 eV per atom.

[18]
Material: AlRu2S
Method: DFT, PBE-GGA
State: optimized geometry

Cell lengths 6.000, 6.000, 6.000 Å; angles 90.00, 90.00, 90.00 degrees
Space group Fm-3m (No. 225)
Asymmetric unit:
Al  0.000  0.000  0.000 (multiplicity 4)
Ru  0.250  0.250  0.250 (multiplicity 8)
S  0.000  0.000  0.500 (multiplicity 4)

Results
Its uncorrected formation energy is -0.023 eV per atom. Its energy above the most stable polymorph in this dataset is 0.00 eV per formula unit. The total energy comes out at -6.63 eV per atom.

[19]
Material: NdPuPN
Method: DFT, PBE-GGA
State: optimized geometry

Cell lengths 3.7787, 3.7787, 18.9613 Å; angles 90.00, 90.00, 120.00 degrees
Space group R3m (No. 160, hexagonal axes)
Asymmetric unit:
Nd  0.0000  0.0000  0.0000 (multiplicity 3)
Pu  0.0000  0.0000  0.5213 (multiplicity 3)
P  0.0000  0.0000  0.7653 (multiplicity 3)
N  0.0000  0.0000  0.2505 (multiplicity 3)

Results
Its uncorrected formation energy is -1.223 eV per atom. The total energy comes out at -9.43 eV per atom.

[20]
Material: Tm3ScBi
Method: DFT, PBE-GGA
State: optimized geometry

Cell lengths 11.166, 8.175, 6.692 Å; angles 90.00, 90.00, 90.00 degrees
Space group Ima2 (No. 46)
Asymmetric unit:
Tm  0.023  0.249  0.000 (multiplicity 8)
Tm  0.250  0.068  0.249 (multiplicity 4)
Sc  0.250  0.750  0.498 (multiplicity 4)
Bi  0.250  0.053  0.748 (multiplicity 4)

Results
The value obtained for the formation energy is 0.15 eV per atom. The total energy comes out at -4.58 eV per atom.